Cs3ScCl6: relaxed, PBE.

Unit cell a=8.1711 b=8.1711 c=8.1711 alpha=60.00 beta=60.00 gamma=60.00
Closest atoms and distances in Å follow each position.
Element x y z (fractional)
Cs 0.0000 0.0000 0.0000  6 Cl 3.27
Cs 0.2500 0.2500 0.2500  12 Cl 4.10
Cs 0.7500 0.7500 0.7500  12 Cl 4.10
Sc 0.5000 0.5000 0.5000  6 Cl 2.50
Cl 0.2834 0.2834 0.7166  1 Sc 2.50
Cl 0.2834 0.7166 0.2834  1 Sc 2.50
Cl 0.2834 0.7166 0.7166  1 Sc 2.50
Cl 0.7166 0.2834 0.2834  1 Sc 2.50
Cl 0.7166 0.2834 0.7166  1 Sc 2.50
Cl 0.7166 0.7166 0.2834  1 Sc 2.50

Summary:
ΔE_f (raw) = -2.07 eV per atom
Space group = Fm-3m (225)

---

CsSc2Cl: relaxed, PBE.

Unit cell a=12.0061 b=12.0061 c=12.0061 alpha=17.15 beta=17.15 gamma=17.15
Closest atoms and distances in Å follow each position.
Element x y z (fractional)
Cs 0.0000 0.0000 0.0000  6 Cs 3.58
Sc 0.4312 0.4312 0.4312  1 Cl 2.44
Sc 0.5688 0.5688 0.5688  1 Cl 2.44
Cl 0.5000 0.5000 0.5000  2 Sc 2.44

Summary:
ΔE_f (raw) = -0.02 eV per atom
Space group = R-3m (166)
Energy relative to the lowest polymorph listed for this composition = 0.40 eV per formula unit

---

CsScCl4: relaxed, PBE.

Unit cell a=10.0912 b=10.0912 c=7.5899 alpha=90.00 beta=90.00 gamma=150.42
Closest atoms and distances in Å follow each position.
Element x y z (fractional)
Cs 0.1215 0.8785 0.7500  7 Cl 3.49-3.91
Cs 0.8785 0.1215 0.2500  7 Cl 3.49-3.91
Sc 0.4054 0.5946 0.7500  6 Cl 2.37-2.65
Sc 0.5946 0.4054 0.2500  6 Cl 2.37-2.65
Cl 0.0788 0.9212 0.2500  2 Sc 2.59
Cl 0.3217 0.6783 0.5240  1 Sc 2.37
Cl 0.3217 0.6783 0.9760  1 Sc 2.37
Cl 0.5000 0.5000 0.0000  2 Sc 2.65
Cl 0.5000 0.5000 0.5000  2 Sc 2.65
Cl 0.6783 0.3217 0.0240  1 Sc 2.37
Cl 0.6783 0.3217 0.4760  1 Sc 2.37
Cl 0.9212 0.0788 0.7500  2 Sc 2.59

Summary:
ΔE_f (raw) = -2.08 eV per atom
Space group = Cmcm (63)
Energy relative to the lowest polymorph listed for this composition = 0.00 eV per formula unit

---

E list, top to bottom, in eV/atom: -4.065 -3.865 -4.512
Calculated volume list, top to bottom, in Å³/cell: 385.8 131.3 381.5
Size of the total moment list, top to bottom, in μB/f.u.: 0.0 1.1 0.0